No. 1
Material: ZrAgCl3
Method: DFT, PBE
State: relaxed

Cell lengths 5.083, 5.083, 5.083 Å; angles 90.00, 90.00, 90.00 degrees
Element x y z (fractional)
Cl  0.000  0.500  0.000
Cl  0.500  0.000  0.000
Cl  0.000  0.000  0.500
Zr  0.500  0.500  0.500
Ag  0.000  0.000  0.000

Computed properties:
Uncorrected formation energy in meV/atom: -29
Space-group type: No. 221
Energy above the lowest structure with this stoichiometry in meV per atom: 765.4

=====

No. 2
Material: La3DyTh2
Method: DFT, PBE
State: relaxed

Cell lengths 7.644, 7.644, 7.644 Å; angles 101.85, 101.85, 101.85 degrees
Element x y z (fractional)
La  0.667  0.166  0.166
La  0.166  0.166  0.667
La  0.333  0.834  0.834
La  0.834  0.834  0.333
La  0.834  0.333  0.834
La  0.166  0.667  0.166
Th  0.000  0.500  0.500
Th  0.500  0.500  0.000
Th  0.500  0.000  0.500
Th  0.000  0.000  0.000
Dy  0.664  0.664  0.664
Dy  0.336  0.336  0.336

Computed properties:
Space-group type: No. 166
Energy above the lowest structure with this stoichiometry in meV per atom: 361.0

=====

No. 3
Material: TbPm3Hg5
Method: DFT, PBE
State: relaxed

Cell lengths 6.643, 9.250, 9.250 Å; angles 120.00, 90.00, 90.00 degrees
Element x y z (fractional)
Hg  0.750  0.000  0.295
Hg  0.250  0.000  0.705
Hg  0.000  0.333  0.667
Hg  0.250  0.295  0.295
Hg  0.250  0.705  0.000
Hg  0.000  0.667  0.333
Hg  0.500  0.667  0.333
Hg  0.750  0.705  0.705
Hg  0.500  0.333  0.667
Hg  0.750  0.295  0.000
Pm  0.750  0.371  0.371
Pm  0.250  0.629  0.629
Pm  0.250  0.000  0.371
Pm  0.250  0.371  0.000
Pm  0.750  0.629  0.000
Pm  0.750  0.000  0.629
Tb  0.500  0.000  0.000
Tb  0.000  0.000  0.000

Computed properties:
Space-group type: No. 193

=====

No. 4
Material: NiHgPb
Method: DFT, PBE
State: relaxed

Cell lengths 6.422, 6.422, 3.275 Å; angles 75.23, 75.23, 29.55 degrees
Element x y z (fractional)
Ni  0.339  0.339  0.661
Pb  0.695  0.695  0.305
Hg  0.966  0.966  0.034

Computed properties:
Space-group type: No. 107
Energy above the lowest structure with this stoichiometry in meV per atom: 78.9

=====

No. 5
Material: Ac3CdAu3
Method: DFT, PBE
State: relaxed

Cell lengths 6.263, 9.530, 9.530 Å; angles 120.00, 90.00, 90.00 degrees
Element x y z (fractional)
Cd  0.750  0.333  0.667
Cd  0.250  0.667  0.333
Ac  0.250  0.647  0.958
Ac  0.250  0.311  0.353
Ac  0.750  0.958  0.311
Ac  0.750  0.353  0.042
Ac  0.250  0.042  0.689
Ac  0.750  0.689  0.647
Au  0.750  0.317  0.355
Au  0.750  0.645  0.962
Au  0.250  0.355  0.038
Au  0.250  0.683  0.645
Au  0.750  0.038  0.683
Au  0.250  0.962  0.317

Computed properties:
Space-group type: No. 176
Energy above the lowest structure with this stoichiometry in meV per atom: 121.8

=====

No. 6
Material: SrGaW2
Method: DFT, PBE
State: relaxed

Cell lengths 4.587, 4.587, 10.128 Å; angles 76.91, 76.91, 90.00 degrees
Element x y z (fractional)
W  0.375  0.713  0.750
W  0.287  0.125  0.250
W  0.463  0.625  0.250
W  0.875  0.537  0.750
Ga  0.500  0.500  0.000
Ga  0.250  0.750  0.500
Sr  0.000  0.000  0.000
Sr  0.750  0.250  0.500

Computed properties:
Space-group type: No. 122

=====

No. 7
Material: TaHgRu
Method: DFT, PBE
State: relaxed

Cell lengths 4.416, 4.416, 4.416 Å; angles 60.00, 60.00, 60.00 degrees
Element x y z (fractional)
Hg  0.500  0.500  0.500
Ta  0.000  0.000  0.000
Ru  0.750  0.750  0.750

Computed properties:
Space-group type: No. 216
Energy above the lowest structure with this stoichiometry in meV per atom: 401.3

=====

No. 8
Material: Ru3Rh4
Method: DFT, PBE
State: relaxed

Cell lengths 2.704, 6.606, 6.963 Å; angles 123.09, 101.20, 90.00 degrees
Element x y z (fractional)
Rh  0.080  0.456  0.161
Rh  0.636  0.880  0.273
Rh  0.364  0.120  0.727
Rh  0.920  0.544  0.839
Ru  0.000  0.000  0.000
Ru  0.226  0.309  0.453
Ru  0.774  0.691  0.547

Computed properties:
Space-group type: No. 12
Energy above the lowest structure with this stoichiometry in meV per atom: 0.0

=====

No. 9
Material: BPd2W
Method: DFT, PBE
State: relaxed

Cell lengths 6.912, 6.912, 5.424 Å; angles 50.42, 50.42, 90.00 degrees
Element x y z (fractional)
Pd  0.875  0.779  0.750
Pd  0.221  0.625  0.250
Pd  0.375  0.471  0.750
Pd  0.529  0.125  0.250
B  0.250  0.750  0.500
B  0.500  0.500  0.000
W  0.750  0.250  0.500
W  0.000  0.000  0.000

Computed properties:
Space-group type: No. 122

=====

No. 10
Material: Ac2Zn3Ge2
Method: DFT, PBE
State: relaxed

Cell lengths 4.307, 4.056, 10.762 Å; angles 100.86, 90.00, 90.00 degrees
Element x y z (fractional)
Ac  0.000  0.158  0.317
Ac  0.000  0.842  0.683
Zn  0.500  0.560  0.121
Zn  0.000  0.000  0.000
Zn  0.500  0.440  0.879
Ge  0.500  0.287  0.574
Ge  0.500  0.713  0.426

Computed properties:
Space-group type: No. 65
Energy above the lowest structure with this stoichiometry in meV per atom: 204.0

=====

No. 11
Material: La3SmRh
Method: DFT, PBE
State: relaxed

Cell lengths 5.649, 5.649, 5.649 Å; angles 90.00, 90.00, 90.00 degrees
Element x y z (fractional)
Sm  0.500  0.500  0.500
La  0.500  0.000  0.000
La  0.000  0.000  0.500
La  0.000  0.500  0.000
Rh  0.000  0.000  0.000

Computed properties:
Space-group type: No. 221
Energy above the lowest structure with this stoichiometry in meV per atom: 78.4

=====

No. 12
Material: NaMgInSi
Method: DFT, PBE
State: relaxed

Cell lengths 4.985, 4.985, 4.985 Å; angles 60.00, 60.00, 60.00 degrees
Element x y z (fractional)
Na  0.500  0.500  0.500
Si  0.750  0.750  0.750
Mg  0.000  0.000  0.000
In  0.250  0.250  0.250

Computed properties:
Uncorrected formation energy in meV/atom: 96
Space-group type: No. 216

=====

no.,E (eV/atom)
1,-3.42
2,-5.30
3,-2.69
4,-3.05
5,-3.87
6,-6.60
7,-6.64
8,-7.98
9,-7.11
10,-3.30
11,-5.56
12,-2.67